1.
First-principles (GGA-PBE) data for crystalline CoAu2 at its relaxed geometry, as listed in Alexandria.

Output
**Space-group type**: Cmcm (63)
**DFT total energy**: -25.75 eV for the cell shown
**Calculated density**: 15.7 g cm⁻³
**Energy of formation**: 0.26 eV per atom

Cell and atoms, written as POSCAR:
```
CoAu2
1.0
1.420 -7.191 0.000
1.420 7.191 0.000
0.000 0.000 4.694
Co Au
2 4
Cartesian
1.420 1.544 3.520 Co
1.420 -1.544 1.173 Co
1.420 6.396 3.520 Au
1.420 -6.396 1.173 Au
1.420 3.288 1.173 Au
1.420 -3.288 3.520 Au
```



2.
First-principles (GGA-PBE) data for crystalline Na3PuHg12 at its relaxed geometry, as listed in Alexandria.

Output
**Space-group type**: P4/mmm (123)
**DFT total energy**: -24.60 eV for the cell shown
**Calculated density**: 11.0 g cm⁻³
**Energy of formation**: -0.17 eV per atom

Cell and atoms, written as POSCAR:
```
Na3PuHg12
1.0
-2.594 -2.206 3.247
-2.149 -2.460 -3.387
12.959 -13.213 1.375
Hg Na Pu
12 3 1
Cartesian
3.565 -6.060 2.139 Hg
3.787 -6.187 -1.178 Hg
4.108 -8.939 0.617 Hg
10.261 -12.787 -0.491 Hg
0.853 -5.621 0.272 Hg
-2.371 -2.333 -0.070 Hg
0.549 -2.885 -1.521 Hg
7.023 -9.486 -0.835 Hg
0.327 -2.759 1.796 Hg
7.363 -12.258 0.962 Hg
6.800 -9.359 2.482 Hg
10.038 -12.661 2.826 Hg
3.250 -3.314 0.345 Na
6.479 -6.607 0.687 Na
9.709 -9.899 1.030 Na
0.000 0.000 0.000 Pu
```



3.
First-principles (GGA-PBE) data for crystalline Cr2SiHg at its relaxed geometry, as listed in Alexandria.

Output
**Space-group type**: F-43m (216)
**DFT total energy**: -22.84 eV for the cell shown
**Calculated density**: 8.7 g cm⁻³
**Raw formation energy**: 0.533 eV/atom

Cell and atoms, written as POSCAR:
```
Cr2SiHg
1.0
4.480 0.000 0.000
2.240 3.880 0.000
2.240 1.293 3.658
Cr Si Hg
2 1 1
Cartesian
2.240 1.293 0.914 Cr
0.000 0.000 0.000 Cr
6.720 3.880 2.743 Si
4.480 2.587 1.829 Hg
```



4.
First-principles (GGA-PBE) data for crystalline Pr6GaS4 at its relaxed geometry, as listed in Alexandria.

Output
**Space-group type**: Cmcm (63)
**DFT total energy**: -131.19 eV for the cell shown
**Calculated density**: 5.9 g cm⁻³
**Raw formation energy**: -1.580 eV/atom

Cell and atoms, written as POSCAR:
```
Pr6GaS4
1.0
-0.086 3.613 -1.912
-1.293 -4.974 -4.971
-20.556 1.529 3.817
Pr S Ga
12 8 2
Cartesian
-18.487 0.208 -3.145 Pr
-12.569 -0.549 -0.470 Pr
-14.863 -0.062 -3.818 Pr
-10.321 2.571 0.953 Pr
-7.072 0.229 0.752 Pr
-3.448 -0.040 0.079 Pr
-2.457 0.202 -3.879 Pr
-0.043 1.806 -0.956 Pr
-19.478 -0.035 0.813 Pr
-6.021 -1.709 -2.958 Pr
-15.914 1.876 -0.107 Pr
-9.366 0.716 -2.596 Pr
-8.810 -2.011 -3.404 S
-18.286 2.563 1.297 S
-13.125 2.179 0.338 S
-9.801 -0.165 0.130 S
-3.649 -2.395 -4.363 S
-20.727 0.972 -1.600 S
-1.208 -0.804 -1.466 S
-12.133 0.333 -3.196 S
-16.315 -0.984 -1.123 Ga
-5.620 1.151 -1.943 Ga
```